Np2Mn12Si7 | Alexandria via LeMat-Bulk | GGA-PBE | optimized geometry; ρ = 7.7 g/cm3; space group = P-6, No. 174; ΔE_f (raw) = -0.29 eV/atom
1.0
-2.234 1.740 -1.909
-2.571 -8.327 -4.581
-4.766 2.812 8.143
Np Mn Si
2 12 7
Cartesian
-1.117 0.870 -0.954
-3.303 -4.614 -0.339
-6.316 -4.901 -0.128
-3.426 -4.745 -3.369
-3.517 -1.587 -0.385
-5.499 1.119 4.402
-6.177 -1.599 2.719
-3.779 0.386 1.721
-2.752 1.047 4.176
-5.739 -1.409 5.434
-3.612 -2.340 2.095
-5.474 -4.420 2.380
-3.511 -7.303 -2.547
-0.923 -2.120 -0.851
-4.034 -0.901 3.902
-3.879 1.814 6.195
-6.438 -3.483 4.362
-1.786 -1.034 1.149
-5.365 -2.834 0.642
-5.242 -5.754 -2.163
-2.652 -2.645 -2.360